(1)
Compound: YCd2In
Source: the Alexandria database
Functional: PBEsol
Structure: relaxed

a b c (Å): 4.656 4.656 8.513
angles (deg): 90.00 90.00 90.00
Space group I-4m2 (No. 119)
Unique sites:
Y  0.000  0.000  0.000 [2 per cell]
Cd  0.000  0.000  0.500 [2 per cell]
Cd  0.000  0.500  0.750 [2 per cell]
In  0.000  0.500  0.250 [2 per cell]

Formation energy: -0.267 eV/atom

---

(2)
Compound: NiPtBr2
Source: the Alexandria database
Functional: PBEsol
Structure: relaxed

a b c (Å): 3.166 6.052 7.777
angles (deg): 90.00 90.00 90.00
Space group Cmmm (No. 65)
Unique sites:
Ni  0.000  0.000  0.000 [2 per cell]
Pt  0.000  0.000  0.500 [2 per cell]
Br  0.000  0.500  0.225 [4 per cell]

Formation energy (no corrections): 1.9 eV per formula unit
ΔE to the lowest computed polymorph: 0.000 eV per atom

---

(3)
Compound: In5Pb24
Source: the Alexandria database
Functional: PBEsol
Structure: relaxed

a b c (Å): 11.999 11.999 11.999
angles (deg): 90.00 90.00 90.00
Space group I-43m (No. 217)
Unique sites:
In  0.000  0.000  0.000 [2 per cell]
In  0.168  0.168  0.168 [8 per cell]
Pb  0.052  0.359  0.641 [24 per cell]
Pb  0.094  0.094  0.712 [24 per cell]

Formation energy: 0.042 eV/atom

---

(4)
Compound: Sr3Ca5
Source: the Alexandria database
Functional: PBEsol
Structure: relaxed

a b c (Å): 11.261 11.332 5.574
angles (deg): 90.00 90.00 90.00
Space group Cmmm (No. 65)
Unique sites:
Sr  0.000  0.000  0.000 [2 per cell]
Sr  0.000  0.254  0.500 [4 per cell]
Ca  0.000  0.500  0.000 [2 per cell]
Ca  0.246  0.500  0.500 [4 per cell]
Ca  0.250  0.250  0.000 [4 per cell]

Formation energy: 0.014 eV/atom

---

(5)
Compound: KAsPt2
Source: the Alexandria database
Functional: PBEsol
Structure: relaxed

a b c (Å): 9.590 3.502 6.075
angles (deg): 90.00 111.27 90.00
Space group Cm (No. 8)
Unique sites:
K  0.000  0.000  0.000 [2 per cell]
As  0.317  0.500  0.382 [2 per cell]
Pt  0.003  0.500  0.536 [2 per cell]
Pt  0.221  0.000  0.563 [2 per cell]

Formation energy: -0.210 eV/atom

---

(6)
Compound: Si2P
Source: the Alexandria database
Functional: PBEsol
Structure: relaxed

a b c (Å): 3.3621 3.3621 9.2954
angles (deg): 90.00 90.00 120.00
Space group P6_3/mmc (No. 194)
Unique sites:
Si  0.3333  0.6667  0.0864 [4 per cell]
P  0.0000  0.0000  0.2500 [2 per cell]

Formation energy (no corrections): 0.4 eV per formula unit
ΔE to the lowest computed polymorph: 0.000 eV per atom

---

(7)
Compound: LaTe2Os
Source: the Alexandria database
Functional: PBEsol
Structure: relaxed

a b c (Å): 7.150 7.150 7.150
angles (deg): 90.00 90.00 90.00
Space group Fm-3m (No. 225)
Unique sites:
La  0.000  0.000  0.000 [4 per cell]
Te  0.250  0.250  0.250 [8 per cell]
Os  0.000  0.000  0.500 [4 per cell]

Formation energy (no corrections): 0.0 eV per formula unit
ΔE to the lowest computed polymorph: 0.353 eV per atom

---

(8)
Compound: LiTl2
Source: the Alexandria database
Functional: PBEsol
Structure: relaxed

a b c (Å): 3.482 3.482 11.468
angles (deg): 90.00 90.00 90.00
Space group I4/mmm (No. 139)
Unique sites:
Li  0.000  0.000  0.000 [2 per cell]
Tl  0.000  0.000  0.346 [4 per cell]

Formation energy: -0.161 eV/atom
ΔE to the lowest computed polymorph: 0.000 eV per atom

---

(9)
Compound: Al2CuO4
Source: the Alexandria database
Functional: PBEsol
Structure: relaxed

a b c (Å): 8.076 8.076 8.076
angles (deg): 90.00 90.00 90.00
Space group Fd-3m (No. 227, origin choice 2)
Unique sites:
Al  0.000  0.000  0.000 [16 per cell]
Cu  0.125  0.125  0.625 [8 per cell]
O  0.014  0.014  0.236 [32 per cell]

Formation energy (no corrections): -16.1 eV per formula unit

---

(10)
Compound: Mg2InNi
Source: the Alexandria database
Functional: PBEsol
Structure: relaxed

a b c (Å): 6.458 6.458 6.458
angles (deg): 90.00 90.00 90.00
Space group F-43m (No. 216)
Unique sites:
Mg  0.000  0.000  0.000 [4 per cell]
Mg  0.250  0.250  0.250 [4 per cell]
In  0.250  0.250  0.750 [4 per cell]
Ni  0.000  0.000  0.500 [4 per cell]

Formation energy: -0.080 eV/atom

---

(11)
Compound: Sc2CdRh
Source: the Alexandria database
Functional: PBEsol
Structure: relaxed

a b c (Å): 3.1744 3.1744 29.2370
angles (deg): 90.00 90.00 120.00
Space group R-3m (No. 166, hexagonal axes)
Unique sites:
Sc  0.0000  0.0000  0.1027 [6 per cell]
Cd  0.0000  0.0000  0.0000 [3 per cell]
Rh  0.0000  0.0000  0.5000 [3 per cell]

Formation energy: -0.134 eV/atom

---

(12)
Compound: CoF4
Source: the Alexandria database
Functional: PBEsol
Structure: relaxed

a b c (Å): 5.347 5.347 10.000
angles (deg): 90.00 90.00 90.00
Space group I4/mcm (No. 140)
Unique sites:
Co  0.000  0.500  0.000 [4 per cell]
F  0.162  0.338  0.119 [16 per cell]

Formation energy (no corrections): -7.1 eV per formula unit